# 1
The following is a DFT calculation (GGA-PBE) of a relaxed structure of Ac2ZrAlPt6.

abc: 5.988 8.386 8.387
angles: 41.82 69.09 90.00
Fractional positions:
Pt 0.245 0.756 0.007
Pt 0.749 0.756 0.006
Pt 0.244 0.251 0.511
Pt 0.755 0.244 0.993
Pt 0.251 0.244 0.994
Pt 0.756 0.749 0.489
Al 0.000 0.000 0.000
Ac 0.224 0.775 0.552
Ac 0.776 0.225 0.448
Zr 0.500 0.500 0.000

Properties
- ΔE_f: -769 meV per atom



# 2
The following is a DFT calculation (GGA-PBE) of a relaxed structure of CaAl2Si2.

abc: 7.570 7.570 3.285
angles: 90.00 90.00 90.00
Fractional positions:
Al 0.644 0.856 0.500
Al 0.356 0.144 0.500
Al 0.144 0.644 0.500
Al 0.856 0.356 0.500
Si 0.862 0.638 0.000
Si 0.138 0.362 0.000
Si 0.638 0.138 0.000
Si 0.362 0.862 0.000
Ca 0.500 0.500 0.000
Ca 0.000 0.000 0.000

Properties
- Formation energy (no corrections): -0.02 eV per atom



# 3
The following is a DFT calculation (GGA-PBE) of a relaxed structure of Sr2CdBi.

abc: 5.835 5.835 5.835
angles: 60.00 60.00 60.00
Fractional positions:
Sr 0.250 0.250 0.250
Sr 0.750 0.750 0.750
Cd 0.000 0.000 0.000
Bi 0.500 0.500 0.500

Properties
- ΔE to the lowest computed polymorph: 11 kJ/mol of formula units
- ΔE_f: -596 meV per atom